A plane-wave DFT calculation with PBE was carried out for YCrMo2 after structural relaxation.

For the magnetization, the calculation gives 2.59 μB per cell. For the formation enthalpy at 0 K, the calculation gives 435.1 meV per atom. The electronic total energy comes out at -36.01 eV for the cell shown.

a b c (Å): 4.645 4.645 4.645
angles (deg): 60.00 60.00 60.00
Last column: magnetic moment on the atom in μB.
Sites, in units of the cell vectors:
Cr (0.500, 0.500, 0.500)  2.50
Mo (0.000, 0.000, 0.000)  0.34
Y (0.750, 0.750, 0.750)  0.12
Mo (0.250, 0.250, 0.250)  -0.60

A plane-wave DFT calculation with PBE was carried out for Y2CrMo after structural relaxation.

For the magnetization, the calculation gives 6.24 μB per cell. For the formation enthalpy at 0 K, the calculation gives 910.0 meV per atom. The electronic total energy comes out at -59.49 eV for the cell shown.

a b c (Å): 7.810 7.810 6.303
angles (deg): 51.72 51.72 90.00
Last column: magnetic moment on the atom in μB.
Sites, in units of the cell vectors:
Y (0.875, 0.870, 0.750)  0.05
Cr (0.250, 0.750, 0.500)  3.48
Y (0.130, 0.625, 0.250)  0.04
Mo (0.000, 0.000, 0.000)  -0.68
Cr (0.500, 0.500, 0.000)  3.48
Y (0.375, 0.380, 0.750)  0.05
Mo (0.750, 0.250, 0.500)  -0.69
Y (0.620, 0.125, 0.250)  0.04

A plane-wave DFT calculation with PBE was carried out for Y2CrMo after structural relaxation.

For the magnetization, the calculation gives 2.02 μB per cell. For the formation enthalpy at 0 K, the calculation gives 577.1 meV per atom. The electronic total energy comes out at -31.07 eV for the cell shown.

a b c (Å): 4.945 4.945 4.945
angles (deg): 60.00 60.00 60.00
Last column: magnetic moment on the atom in μB.
Sites, in units of the cell vectors:
Y (0.000, 0.000, 0.000)  -0.15
Cr (0.500, 0.500, 0.500)  3.04
Y (0.250, 0.250, 0.250)  0.14
Mo (0.750, 0.750, 0.750)  -1.20

A plane-wave DFT calculation with PBE was carried out for YCrMo3 after structural relaxation.

For the magnetization, the calculation gives 1.06 μB per cell. For the formation enthalpy at 0 K, the calculation gives 807.6 meV per atom. The electronic total energy comes out at -44.54 eV for the cell shown.

a b c (Å): 4.606 4.606 4.606
angles (deg): 90.00 90.00 90.00
Last column: magnetic moment on the atom in μB.
Sites, in units of the cell vectors:
Cr (0.000, 0.000, 0.000)  -0.01
Mo (0.500, 0.000, 0.000)  0.16
Y (0.500, 0.500, 0.500)  0.06
Mo (0.000, 0.500, 0.000)  0.26
Mo (0.000, 0.000, 0.500)  0.44

> Which of these has the highest electronic total energy?

number 3